{"formula": "Ni2WS", "functional": "PBE", "state": "optimized geometry", "lattice_angstrom": [[4.536, 0.000, 0.001], [0.000, 2.956, 0.000], [-3.599, 0.000, 7.638]], "species": ["Ni", "Ni", "Ni", "Ni", "S", "S", "W", "W"], "frac_coords": [[0.697, 0.000, 0.869], [0.697, 0.500, 0.369], [0.503, 0.000, 0.103], [0.503, 0.500, 0.603], [0.119, 0.000, 0.414], [0.119, 0.500, 0.914], [0.057, 0.000, 0.680], [0.057, 0.500, 0.180]], "e_form_raw_ev_per_fu": 0.18, "n_ef_per_ev_fu": 3.691, "space_group": "Cm"}

---

{"formula": "NaZrAs2", "functional": "PBE", "state": "optimized geometry", "lattice_angstrom": [[3.760, 0.000, 0.000], [1.880, 3.257, 0.000], [1.880, 1.086, 7.594]], "species": ["Na", "As", "As", "Zr"], "frac_coords": [[0.500, 0.500, 0.500], [0.259, 0.259, 0.222], [0.741, 0.741, 0.778], [0.000, 0.000, 0.000]], "delta_e_f_ev_per_fu": -2.6, "n_ef_per_ev_fu": 1.329, "space_group": "R-3m"}

---

{"formula": "CaHSe3", "functional": "PBE", "state": "optimized geometry", "lattice_angstrom": [[-3.254, -3.171, -0.101], [0.826, -0.707, -4.412], [3.063, -3.177, 1.083]], "species": ["H", "Ca", "Se", "Se", "Se"], "frac_coords": [[0.000, 0.000, 0.000], [0.500, 0.500, 0.500], [0.000, 0.500, 0.000], [0.000, 0.000, 0.500], [0.500, 0.000, 0.000]], "n_ef_per_ev_fu": 3.786, "space_group": "Pm-3m"}

---

{"formula": "GdDyGa2", "functional": "PBE", "state": "optimized geometry", "lattice_angstrom": [[-2.556, 1.493, 2.163], [-3.538, -0.190, -0.943], [-2.781, -7.135, 4.743]], "species": ["Gd", "Ga", "Ga", "Dy"], "frac_coords": [[0.000, 0.000, 0.000], [0.751, 0.751, 0.748], [0.249, 0.249, 0.252], [0.500, 0.500, 0.500]], "delta_e_f_ev_per_fu": -1.6, "n_ef_per_ev_fu": 2.257, "space_group": "R-3m"}

---

{"formula": "LaHgMo3", "functional": "PBE", "state": "optimized geometry", "lattice_angstrom": [[4.818, 0.000, 0.000], [0.000, 4.818, 0.000], [0.000, 0.000, 4.818]], "species": ["Mo", "Mo", "Mo", "Hg", "La"], "frac_coords": [[0.000, 0.500, 0.000], [0.000, 0.000, 0.500], [0.500, 0.000, 0.000], [0.500, 0.500, 0.500], [0.000, 0.000, 0.000]], "delta_e_f_ev_per_fu": 10.9, "n_ef_per_ev_fu": 8.753, "space_group": "Pm-3m"}

---

Number 1: total energy -56.9 eV for the cell shown. Number 2: total energy -21.8 eV for the cell shown. Number 3: total energy -16.5 eV for the cell shown. Number 4: total energy -26.4 eV for the cell shown. Number 5: total energy -26.8 eV for the cell shown.